Entry 1:
SCAN Li2Cu2F5, PBEsol geometry; E_form (uncorrected) = -2224 meV per atom; offset from the most stable computed form = 0 meV per atom; volume = 10.4 A^3/atom; VASP energy = -145.8 eV per cell; M_tot = 1.00 μB/f.u.
1.0
6.887 0.000 0.000
0.000 2.943 0.000
-0.325 0.000 9.273
Li Cu F
4 4 10
direct
0.092 0.250 0.121 Li
0.349 0.750 0.331 Li
0.651 0.250 0.669 Li
0.908 0.750 0.879 Li
0.117 0.250 0.592 Cu
0.403 0.750 0.902 Cu
0.597 0.250 0.098 Cu
0.883 0.750 0.408 Cu
0.064 0.750 0.269 F
0.162 0.750 0.983 F
0.305 0.250 0.460 F
0.327 0.250 0.750 F
0.362 0.250 0.184 F
0.638 0.750 0.816 F
0.673 0.750 0.250 F
0.695 0.750 0.540 F
0.838 0.250 0.017 F
0.936 0.250 0.731 F

=====

Entry 2:
SCAN LiInHg2, PBEsol geometry; volume = 21.2 A^3/atom; VASP energy = -172.9 eV per cell; M_tot = 0.00 μB/f.u.; energy of formation from the pure elements = -0.20 eV/atom
1.0
3.631 0.000 0.000
0.000 3.631 0.000
0.000 0.000 6.431
Li In Hg
1 1 2
direct
0.000 0.000 0.000 Li
0.500 0.500 0.730 In
0.000 0.000 0.468 Hg
0.500 0.500 0.197 Hg

=====

Entry 3:
SCAN Y2CuHg, PBEsol geometry; volume = 22.8 A^3/atom; VASP energy = -141.1 eV per cell; M_tot = 0.00 μB/f.u.; energy of formation from the pure elements = -0.51 eV/atom
1.0
3.621 0.000 0.000
0.000 4.719 0.000
-0.760 0.000 5.333
Y Cu Hg
2 1 1
direct
0.000 0.000 0.000 Y
0.162 0.500 0.555 Y
0.533 0.500 0.114 Cu
0.620 0.000 0.450 Hg

=====

Entry 4:
SCAN SrPd3N, PBEsol geometry; E_form (uncorrected) = 2003 meV per atom; volume = 27.5 A^3/atom; VASP energy = -119.9 eV per cell; M_tot = 2.82 μB/f.u.
1.0
5.160 0.000 0.000
0.000 5.160 0.000
0.000 0.000 5.160
Sr Pd N
1 3 1
direct
0.000 0.000 0.000 Sr
0.000 0.000 0.500 Pd
0.000 0.500 0.000 Pd
0.500 0.000 0.000 Pd
0.500 0.500 0.500 N

=====

Entry 5:
SCAN La2YAl, PBEsol geometry; volume = 27.9 A^3/atom; VASP energy = -122.5 eV per cell; M_tot = 0.11 μB/f.u.; energy of formation from the pure elements = -0.18 eV/atom
1.0
-2.367 2.367 4.981
2.367 -2.367 4.981
2.367 2.367 -4.981
La Y Al
2 1 1
direct
0.250 0.750 0.500 La
0.750 0.250 0.500 La
0.000 0.000 0.000 Y
0.500 0.500 0.000 Al

=====

Entry 6:
SCAN FeRe2Au, PBEsol geometry; offset from the most stable computed form = 352 meV per atom; volume = 14.3 A^3/atom; VASP energy = -227.2 eV per cell; M_tot = 2.52 μB/f.u.; energy of formation from the pure elements = 0.58 eV/atom
1.0
0.000 3.062 3.062
3.062 0.000 3.062
3.062 3.062 0.000
Fe Re Au
1 2 1
direct
0.000 0.000 0.000 Fe
0.250 0.250 0.250 Re
0.750 0.750 0.750 Re
0.500 0.500 0.500 Au

=====

Entry 7:
SCAN MoRu5, PBEsol geometry; offset from the most stable computed form = 88 meV per atom; volume = 13.7 A^3/atom; VASP energy = -208.6 eV per cell; M_tot = 0.00 μB/f.u.; energy of formation from the pure elements = 0.07 eV/atom
1.0
1.892 -5.712 0.000
1.892 5.712 0.000
0.000 0.000 3.789
Mo Ru
1 5
direct
0.000 0.000 0.000 Mo
0.168 0.832 0.500 Ru
0.331 0.669 0.000 Ru
0.500 0.500 0.500 Ru
0.669 0.331 0.000 Ru
0.832 0.168 0.500 Ru

=====

Entry 8:
SCAN KYAg, PBEsol geometry; volume = 33.3 A^3/atom; VASP energy = -66.9 eV per cell; M_tot = 0.63 μB/f.u.; energy of formation from the pure elements = 0.20 eV/atom
1.0
3.744 0.000 0.000
-1.872 3.242 0.000
0.000 0.000 8.241
K Y Ag
1 1 1
direct
0.000 0.000 0.000 K
0.333 0.667 0.559 Y
0.667 0.333 0.324 Ag

=====

Entry 9:
SCAN NaNiF3, PBEsol geometry; E_form (uncorrected) = -2581 meV per atom; volume = 10.9 A^3/atom; VASP energy = -87.8 eV per cell; M_tot = 2.00 μB/f.u.
1.0
1.506 -4.964 0.000
1.506 4.964 0.000
0.000 0.000 7.285
Na Ni F
2 2 6
direct
0.247 0.753 0.750 Na
0.753 0.247 0.250 Na
0.500 0.500 0.000 Ni
0.500 0.500 0.500 Ni
0.129 0.871 0.056 F
0.129 0.871 0.444 F
0.423 0.577 0.250 F
0.577 0.423 0.750 F
0.871 0.129 0.556 F
0.871 0.129 0.944 F

=====

Entry 10:
SCAN NdCrSb3, PBEsol geometry; E_form (uncorrected) = -579 meV per atom; volume = 23.7 A^3/atom; VASP energy = -706.6 eV per cell; M_tot = 2.64 μB/f.u.
1.0
12.903 0.000 0.000
0.000 6.153 0.000
0.000 0.000 5.974
Nd Cr Sb
4 4 12
direct
0.192 0.003 0.250 Nd
0.192 0.497 0.750 Nd
0.808 0.503 0.250 Nd
0.808 0.997 0.750 Nd
0.407 0.750 0.000 Cr
0.407 0.750 0.500 Cr
0.593 0.250 0.000 Cr
0.593 0.250 0.500 Cr
0.002 0.750 0.000 Sb
0.002 0.750 0.500 Sb
0.282 0.001 0.750 Sb
0.282 0.499 0.250 Sb
0.438 0.101 0.250 Sb
0.438 0.399 0.750 Sb
0.562 0.601 0.250 Sb
0.562 0.899 0.750 Sb
0.718 0.501 0.750 Sb
0.718 0.999 0.250 Sb
0.998 0.250 0.000 Sb
0.998 0.250 0.500 Sb

=====

Entry 11:
SCAN TcRh2, PBEsol geometry; offset from the most stable computed form = 0 meV per atom; volume = 13.5 A^3/atom; VASP energy = -206.3 eV per cell; M_tot = 0.00 μB/f.u.; energy of formation from the pure elements = -0.18 eV/atom
1.0
1.344 -7.027 0.000
1.344 7.027 0.000
0.000 0.000 4.288
Tc Rh
2 4
direct
0.113 0.887 0.750 Tc
0.887 0.113 0.250 Tc
0.224 0.776 0.250 Rh
0.446 0.554 0.750 Rh
0.554 0.446 0.250 Rh
0.776 0.224 0.750 Rh

=====

Entry 12:
SCAN ReAsRu2, PBEsol geometry; volume = 14.0 A^3/atom; VASP energy = -160.6 eV per cell; M_tot = 0.00 μB/f.u.; energy of formation from the pure elements = 0.09 eV/atom
1.0
2.780 0.000 0.000
0.000 3.980 0.000
-1.211 0.000 5.049
Re As Ru
1 1 2
direct
0.000 0.000 0.000 Re
0.000 0.000 0.500 As
0.377 0.500 0.745 Ru
0.623 0.500 0.255 Ru

=====

Entry 13:
SCAN TaCr2As, PBEsol geometry; volume = 13.6 A^3/atom; VASP energy = -123.9 eV per cell; M_tot = 2.36 μB/f.u.; energy of formation from the pure elements = -0.09 eV/atom
1.0
3.126 0.000 0.000
0.000 3.126 0.000
0.000 0.000 5.575
Ta Cr As
1 2 1
direct
0.000 0.000 0.000 Ta
0.500 0.500 0.266 Cr
0.500 0.500 0.734 Cr
0.000 0.000 0.500 As

=====

Entry 14:
SCAN RbAgH3, PBEsol geometry; volume = 19.2 A^3/atom; VASP energy = -56.0 eV per cell; M_tot = 1.00 μB/f.u.
1.0
4.582 0.000 0.000
0.000 4.582 0.000
0.000 0.000 4.582
Rb Ag H
1 1 3
direct
0.000 0.000 0.000 Rb
0.500 0.500 0.500 Ag
0.000 0.000 0.500 H
0.000 0.500 0.000 H
0.500 0.000 0.000 H

=====

Entry 15:
SCAN CoTc2Ru, PBEsol geometry; offset from the most stable computed form = 0 meV per atom; volume = 12.8 A^3/atom; VASP energy = -122.2 eV per cell; M_tot = 0.00 μB/f.u.; energy of formation from the pure elements = 0.02 eV/atom
1.0
2.651 0.000 0.000
0.000 4.188 0.000
0.000 0.000 4.600
Co Tc Ru
1 2 1
direct
0.000 0.000 0.000 Co
0.500 0.000 0.488 Tc
0.500 0.500 0.150 Tc
0.000 0.500 0.666 Ru

=====

Entry 16:
SCAN IrRhW2, PBEsol geometry; offset from the most stable computed form = 7 meV per atom; volume = 14.6 A^3/atom; VASP energy = -245.4 eV per cell; M_tot = 0.00 μB/f.u.; energy of formation from the pure elements = -0.28 eV/atom
1.0
2.736 0.000 0.000
0.000 3.888 0.000
0.000 0.000 5.479
Ir Rh W
1 1 2
direct
0.000 0.000 0.000 Ir
0.000 0.000 0.500 Rh
0.500 0.500 0.250 W
0.500 0.500 0.750 W

=====

Entry 17:
SCAN Ba2CaCd, PBEsol geometry; volume = 41.0 A^3/atom; VASP energy = -119.5 eV per cell; M_tot = 0.13 μB/f.u.; energy of formation from the pure elements = -0.09 eV/atom
1.0
6.040 0.000 0.000
0.000 6.040 0.000
0.000 0.000 4.496
Ba Ca Cd
2 1 1
direct
0.000 0.500 0.000 Ba
0.500 0.000 0.000 Ba
0.000 0.000 0.500 Ca
0.500 0.500 0.500 Cd

=====

Entry 18:
SCAN BaCdB2, PBEsol geometry; volume = 20.6 A^3/atom; VASP energy = -163.1 eV per cell; M_tot = 0.00 μB/f.u.; energy of formation from the pure elements = 0.82 eV/atom
1.0
-2.301 2.301 7.774
2.301 -2.301 7.774
2.301 2.301 -7.774
Ba Cd B
2 2 4
direct
0.375 0.625 0.750 Ba
0.625 0.375 0.250 Ba
0.125 0.875 0.250 Cd
0.875 0.125 0.750 Cd
0.000 0.000 0.000 B
0.000 0.000 0.500 B
0.000 0.500 0.000 B
0.500 0.000 0.500 B

=====

Entry 19:
SCAN BaSrSb2, PBEsol geometry; E_form (uncorrected) = -1008 meV per atom; offset from the most stable computed form = 0 meV per atom; volume = 36.3 A^3/atom; VASP energy = -140.4 eV per cell; M_tot = 0.00 μB/f.u.
1.0
6.198 -2.354 0.000
6.198 2.354 0.000
-0.871 0.000 4.978
Ba Sr Sb
1 1 2
direct
0.000 0.000 0.000 Ba
0.745 0.745 0.510 Sr
0.275 0.275 0.048 Sb
0.463 0.463 0.470 Sb

=====

Entry 20:
SCAN CoHO2, PBEsol geometry; volume = 7.5 A^3/atom; VASP energy = -38.7 eV per cell; M_tot = 0.00 μB/f.u.
1.0
1.423 0.822 4.288
-1.423 0.822 4.288
0.000 -1.643 4.288
Co H O
1 1 2
direct
0.000 0.000 0.000 Co
0.500 0.500 0.500 H
0.406 0.406 0.406 O
0.594 0.594 0.594 O

=====

Entry 21:
SCAN AgP2Cl, PBEsol geometry; E_form (uncorrected) = -152 meV per atom; offset from the most stable computed form = 0 meV per atom; volume = 22.2 A^3/atom; VASP energy = -60.8 eV per cell; M_tot = 0.00 μB/f.u.
1.0
4.612 0.000 0.000
0.000 3.253 0.000
-1.812 0.000 5.909
Ag P Cl
1 2 1
direct
0.000 0.000 0.000 Ag
0.442 0.000 0.866 P
0.500 0.500 0.645 P
0.060 0.500 0.376 Cl

=====

Entry 22:
SCAN NbReCl3, PBEsol geometry; E_form (uncorrected) = 589 meV per atom; volume = 23.0 A^3/atom; VASP energy = -125.2 eV per cell; M_tot = 3.00 μB/f.u.
1.0
4.866 0.000 0.000
0.000 4.866 0.000
0.000 0.000 4.866
Nb Re Cl
1 1 3
direct
0.000 0.000 0.000 Nb
0.500 0.500 0.500 Re
0.000 0.000 0.500 Cl
0.000 0.500 0.000 Cl
0.500 0.000 0.000 Cl

=====

Entry 23:
SCAN Li3Sb2P3O12, PBEsol geometry; E_form (uncorrected) = -2185 meV per atom; offset from the most stable computed form = 39 meV per atom; volume = 11.7 A^3/atom; VASP energy = -462.7 eV per cell; M_tot = 0.00 μB/f.u.
1.0
4.252 -2.786 0.000
4.252 2.786 0.000
-0.522 0.000 19.774
Li Sb P O
6 4 6 24
direct
0.002 0.002 0.159 Li
0.336 0.336 0.912 Li
0.339 0.339 0.229 Li
0.661 0.661 0.771 Li
0.664 0.664 0.088 Li
0.998 0.998 0.841 Li
0.000 0.000 0.000 Sb
0.000 0.000 0.500 Sb
0.003 0.003 0.320 Sb
0.997 0.997 0.680 Sb
0.347 0.347 0.762 P
0.355 0.355 0.079 P
0.355 0.355 0.401 P
0.645 0.645 0.599 P
0.645 0.645 0.921 P
0.653 0.653 0.238 P
0.231 0.690 0.411 O
0.232 0.232 0.456 O
0.238 0.685 0.762 O
0.241 0.241 0.137 O
0.243 0.243 0.823 O
0.246 0.246 0.696 O
0.247 0.691 0.083 O
0.270 0.270 0.009 O
0.289 0.289 0.328 O
0.309 0.753 0.917 O
0.310 0.769 0.589 O
0.315 0.762 0.238 O
0.685 0.238 0.762 O
0.690 0.231 0.411 O
0.691 0.247 0.083 O
0.711 0.711 0.672 O
0.730 0.730 0.991 O
0.753 0.309 0.917 O
0.754 0.754 0.304 O
0.757 0.757 0.177 O
0.759 0.759 0.863 O
0.762 0.315 0.238 O
0.768 0.768 0.544 O
0.769 0.310 0.589 O

=====

Entry 24:
SCAN ScP2Br, PBEsol geometry; E_form (uncorrected) = -458 meV per atom; offset from the most stable computed form = 332 meV per atom; volume = 19.3 A^3/atom; VASP energy = -112.6 eV per cell; M_tot = 0.00 μB/f.u.
1.0
-1.907 1.907 10.583
1.907 -1.907 10.583
1.907 1.907 -10.583
Sc P Br
2 4 2
direct
0.000 0.000 0.000 Sc
0.750 0.250 0.500 Sc
0.038 0.125 0.413 P
0.375 0.962 0.087 P
0.712 0.625 0.587 P
0.875 0.288 0.913 P
0.250 0.750 0.500 Br
0.500 0.500 0.000 Br